First-principles (PBE) data for crystalline KAgAs2Se at its relaxed geometry, as listed in Alexandria via LeMat-Bulk.

a b c (Å): 5.539 5.539 5.591
angles (deg): 90.00 90.00 90.00
Element x y z (fractional)
1 K 0.000 0.000 0.000
2 Ag 0.500 0.500 0.500
3 As 0.000 0.500 0.000
4 As 0.500 0.000 0.000
5 Se 0.000 0.000 0.500

Results
For the density of states at the Fermi level, the calculation gives 4.6 states/eV per cell. Its uncorrected formation energy is 1.40 eV per atom. The polymorph energy (0 for the lowest one) comes out at 1129.4 meV/atom. The final energy is -1.943 eV per atom.